Entry 1:
Crystalline Tl3In5Hg4 at its relaxed geometry. Source: Alexandria, functional PBE.

Properties
The calculation puts the energy at -1.8103 eV/atom. For the size of the total moment, the calculation gives 0.000 μB per atom. As for the space-group type: P-1. Its theoretical density is 9.86 g/cm3. The volume is 335.0 Å³ per cell.

The structure in POSCAR format:
```
Tl3In5Hg4
1.0
-6.725 -1.741 1.076
3.604 -7.760 -0.763
-0.256 -4.139 5.684
Tl In Hg
3 5 4
Cartesian
1.174 -5.435 -0.254
0.000 0.000 0.000
-4.552 -8.206 6.250
-3.247 -7.198 3.247
-3.363 -0.871 0.538
-5.687 -4.977 3.660
2.310 -8.663 2.337
-0.131 -6.442 2.749
-2.337 -4.040 3.191
-2.306 -10.522 5.807
-1.072 -3.118 0.189
-1.041 -9.601 2.806
```

***

Entry 2:
Crystalline Tl7InHg12 at its relaxed geometry. Source: Alexandria, functional PBE.

Properties
The calculation puts the energy at -1.1277 eV/atom. For the size of the total moment, the calculation gives 0.000 μB per atom. As for the space-group type: R-3. Its theoretical density is 11.27 g/cm3. The volume is 582.4 Å³ per cell.

The structure in POSCAR format:
```
Tl7InHg12
1.0
8.356 -0.441 -0.087
-0.084 8.367 -0.087
-0.460 -0.441 8.344
Tl In Hg
7 1 12
Cartesian
3.231 1.089 0.540
7.328 4.304 6.920
6.708 7.137 4.917
3.906 3.743 4.085
1.105 0.348 3.252
0.485 3.182 1.249
4.581 6.397 7.629
0.000 0.000 0.000
6.133 0.643 2.041
5.814 1.386 7.174
6.883 2.560 4.231
3.713 0.718 5.132
7.094 5.749 1.952
5.087 3.679 1.104
2.725 3.807 7.065
0.718 1.737 6.218
4.100 6.768 3.038
0.929 4.926 3.938
1.999 6.100 0.995
1.680 6.842 6.128
```

***

Entry 3:
Crystalline Tl16InHg12 at its relaxed geometry. Source: Alexandria, functional PBE.

Properties
The calculation puts the energy at -1.5266 eV/atom. For the size of the total moment, the calculation gives 0.000 μB per atom. As for the space-group type: Cm. Its theoretical density is 11.44 g/cm3. The volume is 841.0 Å³ per cell.

The structure in POSCAR format:
```
Tl16InHg12
1.0
9.792 -0.070 -3.417
-4.896 8.480 -3.417
-0.025 -0.043 10.205
Tl In Hg
16 1 12
Cartesian
1.740 2.989 1.060
4.873 8.371 -6.782
-0.001 -0.002 6.587
1.496 2.570 4.871
4.430 3.408 -3.594
4.438 2.450 3.077
-3.306 5.775 1.757
6.664 5.310 -5.575
5.309 2.685 -0.263
3.825 -0.054 5.520
-1.935 3.299 5.520
-0.287 5.942 -0.263
1.327 8.417 -5.575
6.654 -0.023 1.757
-0.061 5.069 3.077
0.776 5.535 -3.594
3.073 5.279 -0.979
3.983 6.841 -3.549
3.111 5.344 4.052
2.586 1.418 8.313
5.032 5.383 1.535
-3.055 8.376 -0.435
-1.173 8.328 -2.795
-2.016 6.749 4.903
6.865 1.580 4.903
7.821 3.092 -2.795
8.793 1.479 -0.435
2.196 7.033 1.535
-0.044 2.949 8.313
```

***

Entry 4:
Crystalline Tl3InHg7 at its relaxed geometry. Source: Alexandria, functional PBE.

Properties
The calculation puts the energy at -1.0652 eV/atom. For the size of the total moment, the calculation gives 0.000 μB per atom. As for the space-group type: Cmcm. Its theoretical density is 10.96 g/cm3. The volume is 646.3 Å³ per cell.

The structure in POSCAR format:
```
Tl3InHg7
1.0
-2.030 -0.418 2.493
-3.395 -12.903 -7.034
9.601 -6.219 6.773
Tl In Hg
6 2 14
Cartesian
2.628 -5.335 1.245
1.548 -14.205 0.987
5.241 -10.491 2.508
-1.065 -9.048 -0.275
0.166 -3.740 -0.492
4.010 -15.800 2.724
-2.404 -13.030 -2.033
6.580 -6.509 4.265
3.009 -17.127 -0.421
1.167 -2.413 2.653
0.426 -14.772 -2.129
3.750 -4.768 4.362
7.808 -7.396 7.224
-3.632 -12.143 -4.992
0.588 -11.669 -1.477
3.588 -7.871 3.709
2.892 -11.075 0.498
1.284 -8.465 1.734
-2.251 -6.175 -0.760
6.427 -13.364 2.992
-2.023 -9.978 -3.319
6.199 -9.562 5.551
```

***

Entry 5:
Crystalline TlIn12Hg7 at its relaxed geometry. Source: Alexandria, functional PBE.

Properties
The calculation puts the energy at -1.8366 eV/atom. For the size of the total moment, the calculation gives 0.000 μB per atom. As for the space-group type: R-3. Its theoretical density is 9.06 g/cm3. The volume is 547.6 Å³ per cell.

The structure in POSCAR format:
```
TlIn12Hg7
1.0
-7.065 -1.250 -5.084
6.115 -5.880 -2.315
-2.309 -1.587 8.335
Tl In Hg
1 12 7
Cartesian
0.000 0.000 0.000
-6.939 -3.105 0.783
-4.275 -3.100 -4.146
-3.902 -2.765 2.077
-4.481 -4.018 -0.963
-3.549 -2.370 5.183
-1.607 -4.595 3.668
-1.651 -4.123 -2.732
0.290 -6.347 -4.247
1.222 -4.700 1.899
0.644 -5.952 -1.141
1.016 -5.617 5.082
3.681 -5.612 0.153
-4.276 -5.872 2.295
-2.982 -1.278 -0.676
-0.295 -1.921 2.684
-1.629 -4.359 0.468
-2.964 -6.796 -1.748
-0.277 -7.440 1.612
1.017 -2.846 -1.359
```

***

Entry 6:
Crystalline Tl2InHg2 at its relaxed geometry. Source: Alexandria, functional PBE.

Properties
The calculation puts the energy at -1.5985 eV/atom. For the size of the total moment, the calculation gives 0.000 μB per atom. As for the space-group type: Cmc2_1. Its theoretical density is 10.56 g/cm3. The volume is 290.9 Å³ per cell.

The structure in POSCAR format:
```
Tl2InHg2
1.0
4.642 0.000 0.000
0.000 6.384 0.000
-2.321 0.000 9.817
Tl In Hg
4 2 4
Cartesian
0.000 5.190 0.115
2.321 2.238 5.713
0.000 5.430 4.103
2.321 1.998 9.701
0.000 0.404 7.833
2.321 3.596 1.983
0.000 3.570 7.811
2.321 5.416 6.307
0.000 2.224 3.510
2.321 0.378 2.005
```

***

Entry 7:
Crystalline Tl2InHg2 at its relaxed geometry. Source: Alexandria, functional PBE.

Properties
The calculation puts the energy at -1.5005 eV/atom. For the size of the total moment, the calculation gives 0.000 μB per atom. As for the space-group type: I4/mmm. Its theoretical density is 9.92 g/cm3. The volume is 154.9 Å³ per cell.

The structure in POSCAR format:
```
Tl2InHg2
1.0
4.573 0.000 0.000
0.000 4.573 0.000
2.287 2.287 7.404
Tl Hg In
2 2 1
Cartesian
4.573 2.287 3.702
2.287 4.573 3.702
2.287 2.287 1.434
4.573 4.573 5.970
0.000 0.000 0.000
```

***

Entry 8:
Crystalline Tl2InHg2 at its relaxed geometry. Source: Alexandria, functional PBE.

Properties
The calculation puts the energy at -1.5232 eV/atom. For the size of the total moment, the calculation gives 0.000 μB per atom. As for the space-group type: I4/mmm. Its theoretical density is 10.09 g/cm3. The volume is 152.3 Å³ per cell.

The structure in POSCAR format:
```
Tl2InHg2
1.0
4.209 0.000 0.000
0.000 4.209 0.000
2.105 2.105 8.594
Tl Hg In
2 2 1
Cartesian
2.105 2.105 1.692
4.209 4.209 6.902
4.209 2.105 4.297
2.105 4.209 4.297
0.000 0.000 0.000
```

***

Entry 9:
Crystalline Tl6InHg at its relaxed geometry. Source: Alexandria, functional PBE.

Properties
The calculation puts the energy at -2.0931 eV/atom. For the size of the total moment, the calculation gives 0.000 μB per atom. As for the space-group type: C2/m. Its theoretical density is 10.15 g/cm3. The volume is 252.1 Å³ per cell.

The structure in POSCAR format:
```
Tl6InHg
1.0
-0.584 3.095 6.220
-5.553 -1.226 -4.033
2.865 -6.545 1.370
Tl In Hg
6 1 1
Cartesian
0.638 -4.455 1.569
0.374 -0.219 3.212
-3.910 -0.221 1.988
-1.380 -2.487 5.019
-3.646 -4.457 0.344
-1.892 -2.189 -1.462
-1.636 -2.338 1.778
0.000 0.000 0.000
```

***

Entry 10:
Crystalline TlIn3Hg4 at its relaxed geometry. Source: Alexandria, functional PBE.

Properties
The calculation puts the energy at -1.4665 eV/atom. For the size of the total moment, the calculation gives 0.000 μB per atom. As for the space-group type: Pmm2. Its theoretical density is 10.14 g/cm3. The volume is 221.4 Å³ per cell.

The structure in POSCAR format:
```
TlIn3Hg4
1.0
-0.372 1.634 -3.311
1.032 -4.398 -2.286
-11.474 -2.675 -0.031
Tl In Hg
1 3 4
Cartesian
-1.195 -1.738 -2.803
-6.700 -3.881 -1.163
-4.246 -0.990 -0.012
-10.158 -1.508 -1.683
-4.256 -2.451 -2.811
-9.652 -4.570 -1.171
-1.193 -0.278 -0.003
-7.178 -0.813 -1.675
```

***

Entry 11:
Crystalline Tl3In2Hg4 at its relaxed geometry. Source: Alexandria, functional PBE.

Properties
The calculation puts the energy at -1.5301 eV/atom. For the size of the total moment, the calculation gives 0.000 μB per atom. As for the space-group type: C2/m. Its theoretical density is 10.59 g/cm3. The volume is 257.9 Å³ per cell.

The structure in POSCAR format:
```
Tl3In2Hg4
1.0
-1.917 -1.283 4.480
1.773 -5.867 1.911
6.577 4.074 3.979
Tl In Hg
3 2 4
Cartesian
4.953 -3.188 6.871
0.000 0.000 0.000
1.481 0.112 3.499
1.469 -2.525 5.572
4.965 -0.551 4.799
6.379 -0.665 8.204
0.055 -2.411 2.166
2.849 0.077 6.907
3.585 -3.154 3.463
```

***

Entry 12:
Crystalline Tl3In2Hg8 at its relaxed geometry. Source: Alexandria, functional PBE.

Properties
The calculation puts the energy at -1.1579 eV/atom. For the size of the total moment, the calculation gives 0.000 μB per atom. As for the space-group type: P-1. Its theoretical density is 11.23 g/cm3. The volume is 362.0 Å³ per cell.

The structure in POSCAR format:
```
Tl3In2Hg8
1.0
-2.637 1.512 1.756
4.814 -6.300 10.581
7.671 3.493 2.941
Tl In Hg
3 2 8
Cartesian
-1.319 0.756 0.878
5.049 2.770 6.697
4.799 -4.064 8.581
4.540 -0.153 4.730
5.308 -1.142 10.547
6.442 -0.005 7.751
3.406 -1.290 7.527
0.357 1.009 3.731
9.491 -2.304 11.547
8.160 0.497 10.489
3.322 2.663 3.720
6.527 -3.958 11.558
1.688 -1.792 4.788
```

***

Entry 13:
Crystalline TlInHg at its relaxed geometry. Source: Alexandria, functional PBE.

Properties
The calculation puts the energy at -1.7765 eV/atom. For the size of the total moment, the calculation gives 0.000 μB per atom. As for the space-group type: Cmcm. Its theoretical density is 10.05 g/cm3. The volume is 343.4 Å³ per cell.

The structure in POSCAR format:
```
TlInHg
1.0
-7.038 5.709 3.711
2.230 -1.103 5.926
3.288 4.334 -0.431
Tl Hg In
4 4 4
Cartesian
1.530 5.936 2.272
2.113 2.315 4.863
-3.049 3.003 6.934
-3.633 6.625 4.343
-4.082 3.488 3.928
-2.600 6.140 7.349
2.562 5.452 5.278
1.081 2.800 1.857
0.000 0.000 0.000
-0.760 4.470 4.603
-1.875 5.021 1.640
1.115 -0.551 2.963
```

***

Entry 14:
Crystalline TlInHg at its relaxed geometry. Source: Alexandria, functional PBE.

Properties
The calculation puts the energy at -1.7954 eV/atom. For the size of the total moment, the calculation gives 0.000 μB per atom. As for the space-group type: P-1. Its theoretical density is 10.23 g/cm3. The volume is 168.7 Å³ per cell.

The structure in POSCAR format:
```
TlInHg
1.0
6.385 0.492 0.204
-2.665 4.738 0.155
-0.284 -3.910 5.148
Tl Hg In
2 2 2
Cartesian
5.275 -2.402 4.017
0.829 1.600 1.471
-0.536 0.530 4.439
3.974 3.405 1.204
4.160 0.302 1.836
1.946 -1.103 3.650
```

***

Entry 15:
Crystalline Tl6In16Hg7 at its relaxed geometry. Source: Alexandria, functional PBE.

Properties
The calculation puts the energy at -2.0502 eV/atom. For the size of the total moment, the calculation gives 0.000 μB per atom. As for the space-group type: C2/m. Its theoretical density is 8.99 g/cm3. The volume is 824.8 Å³ per cell.

The structure in POSCAR format:
```
Tl6In16Hg7
1.0
3.614 0.804 10.577
3.073 -8.385 6.825
10.300 -2.261 3.891
Tl In Hg
6 16 7
Cartesian
5.030 -6.930 8.122
11.957 -2.913 13.171
11.683 -8.555 10.916
5.305 -1.287 10.376
9.428 -3.204 6.337
7.560 -6.639 14.956
13.016 -8.499 14.317
13.193 -5.443 15.550
14.582 -8.446 18.284
10.786 -7.483 16.527
3.795 -4.399 5.743
3.971 -1.343 6.976
2.405 -1.396 3.009
6.202 -2.360 4.766
8.777 -6.472 8.108
9.028 -2.071 9.907
10.437 -6.059 13.059
5.576 -4.996 11.308
7.960 -7.771 11.385
8.210 -3.371 13.184
6.550 -3.784 8.234
11.411 -4.847 9.984
8.494 -4.921 10.646
6.957 -0.729 7.234
1.537 -4.193 3.412
1.807 0.402 5.289
6.687 -5.323 5.358
3.344 -3.791 8.701
5.150 -1.131 1.945
```

***

Entry 16:
Crystalline TlIn6Hg23 at its relaxed geometry. Source: Alexandria, functional PBE.

Properties
The calculation puts the energy at -0.8465 eV/atom. For the size of the total moment, the calculation gives 0.000 μB per atom. As for the space-group type: P-1. Its theoretical density is 10.92 g/cm3. The volume is 837.5 Å³ per cell.

The structure in POSCAR format:
```
TlIn6Hg23
1.0
-6.976 -4.821 1.288
3.110 -11.796 1.335
0.609 -5.799 9.348
Tl In Hg
1 6 23
Cartesian
-1.628 -11.208 5.986
-2.808 -14.027 4.236
-0.448 -8.389 7.736
-4.276 -8.032 3.656
1.020 -14.383 8.315
-4.104 -10.916 8.413
0.847 -11.500 3.559
-3.730 -5.234 2.215
0.473 -17.182 9.757
-0.162 -5.638 6.037
-0.423 -3.014 1.608
-3.095 -16.778 5.934
-2.833 -19.402 10.364
1.114 -8.653 2.140
-4.370 -13.763 9.831
-1.933 -8.308 1.312
0.305 -2.900 4.674
-3.488 -2.410 0.644
1.860 -8.798 5.342
-3.183 -5.310 5.318
1.555 -5.898 0.668
-4.871 -10.814 5.092
1.615 -11.602 6.879
-0.897 -11.317 9.267
-1.175 -8.214 4.421
-2.360 -11.098 2.705
-2.082 -14.202 7.550
0.314 -14.284 5.146
-3.571 -8.132 6.826
0.000 0.000 0.000
```

***

Entry 17:
Crystalline TlIn3Hg5 at its relaxed geometry. Source: Alexandria, functional PBE.

Properties
The calculation puts the energy at -1.3304 eV/atom. For the size of the total moment, the calculation gives 0.000 μB per atom. As for the space-group type: Cmcm. Its theoretical density is 10.44 g/cm3. The volume is 493.8 Å³ per cell.

The structure in POSCAR format:
```
TlIn3Hg5
1.0
6.619 0.000 0.000
0.000 10.147 0.000
0.000 -5.074 7.353
Tl In Hg
2 6 10
Cartesian
0.000 0.000 0.000
3.309 0.000 0.000
4.964 1.612 2.637
4.964 6.686 4.715
4.964 6.554 0.000
1.655 3.462 4.715
1.655 -1.612 2.637
1.655 3.593 0.000
0.000 5.074 2.370
3.309 0.000 4.983
0.000 0.000 4.983
3.309 5.074 2.370
4.964 3.488 4.930
4.964 -1.586 2.422
4.964 3.238 0.000
1.655 1.586 2.422
1.655 6.660 4.930
1.655 6.909 0.000
```

***

Entry 18:
Crystalline TlInHg at its relaxed geometry. Source: Alexandria, functional PBE.

Properties
The calculation puts the energy at -1.7954 eV/atom. For the size of the total moment, the calculation gives 0.000 μB per atom. As for the space-group type: P4/nmm. Its theoretical density is 9.91 g/cm3. The volume is 174.1 Å³ per cell.

The structure in POSCAR format:
```
TlInHg
1.0
4.571 0.000 0.000
0.000 4.571 0.000
0.000 0.000 8.332
Tl Hg In
2 2 2
Cartesian
0.000 2.286 1.283
2.286 0.000 7.049
0.000 2.286 6.449
2.286 0.000 1.884
0.000 0.000 4.166
2.286 2.286 4.166
```

***

Entry 19:
Crystalline Tl4In2Hg3 at its relaxed geometry. Source: Alexandria, functional PBE.

Properties
The calculation puts the energy at -1.7385 eV/atom. For the size of the total moment, the calculation gives 0.000 μB per atom. As for the space-group type: P3m1. Its theoretical density is 10.54 g/cm3. The volume is 259.8 Å³ per cell.

The structure in POSCAR format:
```
Tl4In2Hg3
1.0
-3.134 1.298 -0.219
1.127 -2.134 -2.394
-9.272 -20.099 13.549
Tl In Hg
4 2 3
Cartesian
-5.065 -10.979 7.401
-5.692 -8.468 4.869
-3.645 -4.032 1.878
-7.135 -15.466 10.426
-2.499 -1.549 0.204
-9.880 -17.546 10.988
-9.110 -19.748 13.313
-2.958 -6.413 4.323
-7.807 -13.054 7.960
```